Run A
Computed, not measured: crystalline TaTiSi2 at its relaxed geometry at the PBE level of DFT.

```
TaTiSi2
1.0
0.0000 3.1314 3.1314
3.1314 0.0000 3.1314
3.1314 3.1314 0.0000
Ta Ti Si
1 1 2
direct
0.0000 0.0000 0.0000
0.5000 0.5000 0.5000
0.2500 0.2500 0.2500
0.7500 0.7500 0.7500
```

Values from the calculation:
magnetic moment	0.0	μB per formula unit
SG	Fm-3m

=====

Run B
Computed, not measured: crystalline TaTiSi2 at its relaxed geometry at the PBE level of DFT.

```
TaTiSi2
1.0
-3.4307 3.4307 2.7817
3.4307 -3.4307 2.7817
3.4307 3.4307 -2.7817
Ta Ti Si
2 2 4
direct
0.0000 0.0000 0.0000
0.7500 0.2500 0.5000
0.2500 0.7500 0.5000
0.5000 0.5000 0.0000
0.1295 0.6250 0.0045
0.3750 0.3795 0.5045
0.6205 0.1250 0.9955
0.8750 0.8705 0.4955
```

Values from the calculation:
magnetic moment	0.0	μB per formula unit
SG	I-42d

=====

Run C
Computed, not measured: crystalline TaTiSi2 at its relaxed geometry at the PBE level of DFT.

```
TaTiSi2
1.0
1.7959 1.0369 5.9854
-1.7959 1.0369 5.9854
0.0000 -2.0737 5.9854
Ta Ti Si
1 1 2
direct
0.0000 0.0000 0.0000
0.5000 0.5000 0.5000
0.2481 0.2481 0.2481
0.7519 0.7519 0.7519
```

Values from the calculation:
magnetic moment	0.0	μB per formula unit
SG	R-3m

=====

run C is the most stable structure; the next one sits 0.107 eV/atom above it.

=====

Run A
Computed, not measured: crystalline Ta2TiSi2 at its relaxed geometry at the PBE level of DFT.

```
Ta2TiSi2
1.0
-1.9460 1.9460 5.6884
1.9460 -1.9460 5.6884
1.9460 1.9460 -5.6884
Ta Ti Si
2 1 2
direct
0.2500 0.7500 0.5000
0.7500 0.2500 0.5000
0.0000 0.0000 0.0000
0.4017 0.4017 0.0000
0.5983 0.5983 0.0000
```

Values from the calculation:
magnetic moment	0.0	μB per formula unit
SG	I4/mmm

=====

Run B
Computed, not measured: crystalline Ta2TiSi2 at its relaxed geometry at the PBE level of DFT.

```
Ta2TiSi2
1.0
6.6541 0.0000 0.0000
0.0000 6.6541 0.0000
0.0000 0.0000 3.5127
Ta Ti Si
4 2 4
direct
0.1718 0.3282 0.0000
0.3282 0.8282 0.0000
0.6718 0.1718 0.0000
0.8282 0.6718 0.0000
0.0000 0.0000 0.5000
0.5000 0.5000 0.5000
0.1279 0.6279 0.5000
0.3721 0.1279 0.5000
0.6279 0.8721 0.5000
0.8721 0.3721 0.5000
```

Values from the calculation:
magnetic moment	0.0	μB per formula unit
SG	P4/mbm

=====

run B is the most stable structure; the next one sits 0.431 eV/atom above it.

=====

Run A
Computed, not measured: crystalline TaTiSi3 at its relaxed geometry at the PBE level of DFT.

```
TaTiSi3
1.0
4.5342 0.0000 0.0000
0.0000 4.5342 0.0000
0.0000 0.0000 4.5342
Ta Ti Si
1 1 3
direct
0.0000 0.0000 0.0000
0.5000 0.5000 0.5000
0.0000 0.5000 0.5000
0.5000 0.0000 0.5000
0.5000 0.5000 0.0000
```

Values from the calculation:
magnetic moment	0.0	μB per formula unit
SG	Pm-3m

=====

Run B
Computed, not measured: crystalline TaTiSi3 at its relaxed geometry at the PBE level of DFT.

```
TaTiSi3
1.0
4.7951 0.0000 0.0000
0.0000 4.7951 0.0000
0.0000 0.0000 4.7951
Ta Ti Si
1 1 3
direct
0.0000 0.0000 0.0000
0.5000 0.5000 0.5000
0.0000 0.0000 0.5000
0.0000 0.5000 0.0000
0.5000 0.0000 0.0000
```

Values from the calculation:
magnetic moment	1.9	μB per formula unit
SG	Pm-3m

=====

run B is the most stable structure; the next one sits 0.215 eV/atom above it.

=====

Run A
Computed, not measured: crystalline TaTlSi3 at its relaxed geometry at the PBE level of DFT.

```
TaTlSi3
1.0
4.9637 0.0000 0.0000
0.0000 4.9637 0.0000
0.0000 0.0000 4.9637
Ta Tl Si
1 1 3
direct
0.0000 0.0000 0.0000
0.5000 0.5000 0.5000
0.0000 0.0000 0.5000
0.0000 0.5000 0.0000
0.5000 0.0000 0.0000
```

Values from the calculation:
magnetic moment	0.0	μB per formula unit
SG	Pm-3m

=====

Run B
Computed, not measured: crystalline TaTlSi3 at its relaxed geometry at the PBE level of DFT.

```
TaTlSi3
1.0
4.9609 0.0000 0.0000
0.0000 4.9609 0.0000
0.0000 0.0000 4.9609
Ta Tl Si
1 1 3
direct
0.0000 0.0000 0.0000
0.5000 0.5000 0.5000
0.0000 0.5000 0.5000
0.5000 0.0000 0.5000
0.5000 0.5000 0.0000
```

Values from the calculation:
magnetic moment	0.0	μB per formula unit
SG	Pm-3m

=====

run A is the most stable structure; the next one sits 1.618 eV/atom above it.

=====

Run A
Computed, not measured: crystalline TaTlSi at its relaxed geometry at the PBE level of DFT.

```
TaTlSi
1.0
-1.7272 1.7272 5.1206
1.7272 -1.7272 5.1206
1.7272 1.7272 -5.1206
Ta Tl Si
1 1 1
direct
0.0000 0.0000 0.0000
0.7072 0.7072 0.0000
0.4258 0.4258 0.0000
```

Values from the calculation:
magnetic moment	0.0	μB per formula unit
SG	I4mm

=====

Run B
Computed, not measured: crystalline TaTlSi at its relaxed geometry at the PBE level of DFT.

```
TaTlSi
1.0
3.0999 0.0000 0.0000
-1.5499 2.6846 0.0000
0.0000 0.0000 7.0623
Ta Tl Si
1 1 1
direct
0.0000 0.0000 0.0000
0.6667 0.3333 0.3607
0.3333 0.6667 0.7145
```

Values from the calculation:
magnetic moment	0.0	μB per formula unit
SG	P3m1

=====

Run C
Computed, not measured: crystalline TaTlSi at its relaxed geometry at the PBE level of DFT.

```
TaTlSi
1.0
4.5402 0.0000 0.0000
-2.2701 3.9319 0.0000
0.0000 0.0000 3.3514
Ta Tl Si
1 1 1
direct
0.0000 0.0000 0.0000
0.6667 0.3333 0.5000
0.3333 0.6667 0.0000
```

Values from the calculation:
magnetic moment	0.0	μB per formula unit
SG	P-6m2

=====

run A is the most stable structure; the next one sits 0.160 eV/atom above it.

=====

Run A
Computed, not measured: crystalline TaTl3Si at its relaxed geometry at the PBE level of DFT.

```
TaTl3Si
1.0
5.2331 0.0000 0.0000
0.0000 5.2331 0.0000
0.0000 0.0000 5.2331
Ta Tl Si
1 3 1
direct
0.0000 0.0000 0.0000
0.0000 0.5000 0.5000
0.5000 0.0000 0.5000
0.5000 0.5000 0.0000
0.5000 0.5000 0.5000
```

Values from the calculation:
magnetic moment	2.6	μB per formula unit
SG	Pm-3m

=====

Run B
Computed, not measured: crystalline TaTl3Si at its relaxed geometry at the PBE level of DFT.

```
TaTl3Si
1.0
5.4641 0.0000 0.0000
0.0000 5.4641 0.0000
0.0000 0.0000 5.4641
Ta Tl Si
1 3 1
direct
0.0000 0.0000 0.0000
0.0000 0.0000 0.5000
0.0000 0.5000 0.0000
0.5000 0.0000 0.0000
0.5000 0.5000 0.5000
```

Values from the calculation:
magnetic moment	0.0	μB per formula unit
SG	Pm-3m

=====

run B is the most stable structure; the next one sits 0.221 eV/atom above it.

=====

Run A
Computed, not measured: crystalline Ta3TlSi at its relaxed geometry at the PBE level of DFT.

```
Ta3TlSi
1.0
4.6985 0.0000 0.0000
0.0000 4.6985 0.0000
0.0000 0.0000 4.6985
Ta Tl Si
3 1 1
direct
0.0000 0.0000 0.5000
0.0000 0.5000 0.0000
0.5000 0.0000 0.0000
0.5000 0.5000 0.5000
0.0000 0.0000 0.0000
```

Values from the calculation:
magnetic moment	0.0	μB per formula unit
SG	Pm-3m

=====

Run B
Computed, not measured: crystalline Ta3TlSi at its relaxed geometry at the PBE level of DFT.

```
Ta3TlSi
1.0
5.0557 0.0000 0.0000
0.0000 5.0557 0.0000
0.0000 0.0000 5.0557
Ta Tl Si
3 1 1
direct
0.0000 0.0000 0.5000
0.0000 0.5000 0.0000
0.5000 0.0000 0.0000
0.0000 0.0000 0.0000
0.5000 0.5000 0.5000
```

Values from the calculation:
magnetic moment	0.0	μB per formula unit
SG	Pm-3m

=====

run A is the most stable structure; the next one sits 1.697 eV/atom above it.

=====

Run A
Computed, not measured: crystalline TmTaSi2 at its relaxed geometry at the PBE level of DFT.

```
TmTaSi2
1.0
1.8883 1.0902 6.3746
-1.8883 1.0902 6.3746
0.0000 -2.1804 6.3746
Tm Ta Si
1 1 2
direct
0.0000 0.0000 0.0000
0.5000 0.5000 0.5000
0.2408 0.2408 0.2408
0.7592 0.7592 0.7592
```

Values from the calculation:
magnetic moment	0.0	μB per formula unit
SG	R-3m

=====

Run B
Computed, not measured: crystalline TmTaSi2 at its relaxed geometry at the PBE level of DFT.

```
TmTaSi2
1.0
5.2740 0.0000 0.0000
0.0000 5.3252 0.0000
-2.6512 0.0000 9.9145
Tm Ta Si
4 4 8
direct
0.1997 0.1269 0.1492
0.1997 0.8731 0.6492
0.8003 0.1269 0.3508
0.8003 0.8731 0.8508
0.3021 0.3684 0.8577
0.3021 0.6316 0.3577
0.6979 0.3684 0.6423
0.6979 0.6316 0.1423
0.1658 0.3747 0.5847
0.1658 0.6253 0.0847
0.3409 0.1375 0.4291
0.3409 0.8625 0.9291
0.6591 0.1375 0.0709
0.6591 0.8625 0.5709
0.8342 0.3747 0.9153
0.8342 0.6253 0.4153
```

Values from the calculation:
magnetic moment	0.0	μB per formula unit
SG	P2/c

=====

run B is the most stable structure; the next one sits 0.178 eV/atom above it.